Here is crystalline K5Ga2Sn4 at its relaxed geometry from Alexandria via LeMat-Bulk. Energies are from PBE-GGA.

For the final energy, the calculation gives -2.561 eV/atom. Its symmetry is No. 71. As for the crystal system: orthorhombic.

a b c (Å): 3.723 10.288 12.066
angles (deg): 115.23 98.88 90.00
Atoms (fractional coordinates):
K (0.161, 0.381, 0.321)
K (0.839, 0.619, 0.679)
K (0.161, 0.940, 0.321)
K (0.500, 0.000, 0.000)
K (0.839, 0.060, 0.679)
Ga (0.581, 0.581, 0.162)
Ga (0.419, 0.419, 0.838)
Sn (0.709, 0.709, 0.418)
Sn (0.000, 0.350, 0.000)
Sn (0.291, 0.291, 0.582)
Sn (0.000, 0.650, 0.000)